[1]
TbTm2Sn PBE optimized geometry; symmetry = P2_1/m; offset from the most stable computed form = 0.016 eV per atom; total magnetic moment = 0.00 μB/cell; E_form = -0.394 eV per atom
1.0
-3.661 -2.949 2.086
4.212 -5.278 -0.071
1.091 2.864 5.964
Tb Tm Sn
2 4 2
Direct
0.250 0.409 0.626
0.750 0.591 0.374
0.250 0.918 0.656
0.750 0.082 0.344
0.250 0.767 0.128
0.750 0.233 0.872
0.250 0.277 0.130
0.750 0.723 0.870



[2]
TbTm8Sn6 PBE optimized geometry; symmetry = R-3; total magnetic moment = 0.00 μB/cell; E_form = -0.502 eV per atom
1.0
-4.169 6.912 -3.791
-1.253 0.155 -8.828
-7.460 -0.642 -3.457
Tb Tm Sn
1 8 6
Direct
0.000 0.000 0.000
0.561 0.226 0.320
0.774 0.107 0.680
0.107 0.439 0.680
0.667 0.667 0.000
0.333 0.333 0.000
0.893 0.561 0.320
0.226 0.893 0.320
0.439 0.774 0.680
0.403 0.068 0.798
0.932 0.268 0.202
0.268 0.597 0.202
0.732 0.403 0.798
0.068 0.732 0.798
0.597 0.932 0.202



[3]
TbTm2Sn2 PBE optimized geometry; symmetry = C2/c; total magnetic moment = 0.00 μB/cell; E_form = -0.322 eV per atom
1.0
7.886 0.417 0.687
-1.230 7.801 0.687
-2.453 -3.028 4.441
Tb Tm Sn
2 4 4
Direct
0.098 0.902 0.250
0.902 0.098 0.750
0.776 0.584 0.462
0.416 0.224 0.038
0.584 0.776 0.962
0.224 0.416 0.538
0.369 0.631 0.250
0.824 0.176 0.250
0.176 0.824 0.750
0.631 0.369 0.750



[4]
Tb3Tm5Sn2 PBE optimized geometry; symmetry = Ibam; total magnetic moment = 0.00 μB/cell; E_form = -0.045 eV per atom
1.0
6.276 0.000 0.000
3.138 9.729 -2.359
3.138 0.307 10.006
Tb Tm Sn
6 10 4
Direct
0.250 0.000 0.000
0.750 0.000 0.000
0.380 0.336 0.904
0.620 0.664 0.096
0.880 0.904 0.336
0.120 0.096 0.664
0.250 0.500 0.500
0.750 0.500 0.500
0.502 0.748 0.748
0.998 0.252 0.252
0.498 0.252 0.252
0.002 0.748 0.748
0.105 0.560 0.231
0.895 0.440 0.769
0.605 0.231 0.560
0.395 0.769 0.440
0.142 0.711 0.006
0.858 0.289 0.994
0.642 0.006 0.711
0.358 0.994 0.289



[5]
Tb2Tm5Sn4 PBE optimized geometry; symmetry = C2/m; total magnetic moment = 0.65 μB/cell; E_form = -0.010 eV per atom
1.0
3.426 0.000 0.000
0.000 7.196 -0.294
-1.713 -3.725 14.008
Tb Tm Sn
2 5 4
Direct
0.079 0.351 0.158
0.921 0.649 0.842
0.150 0.867 0.300
0.850 0.133 0.700
0.195 0.439 0.390
0.500 0.000 0.000
0.805 0.561 0.610
0.264 0.844 0.529
0.036 0.707 0.073
0.736 0.156 0.471
0.964 0.293 0.927



[6]
TbTm2Sn PBE optimized geometry; symmetry = P2_1/m; offset from the most stable computed form = 0.000 eV per atom; total magnetic moment = 0.00 μB/cell; E_form = -0.410 eV per atom
1.0
4.637 0.000 0.000
0.000 4.478 -0.888
0.000 -0.076 11.303
Tb Tm Sn
2 4 2
Direct
0.250 0.309 0.615
0.750 0.691 0.385
0.750 0.442 0.883
0.250 0.558 0.117
0.250 0.937 0.873
0.750 0.063 0.127
0.750 0.836 0.670
0.250 0.164 0.330



[7]
Tb4TmSn2 PBE optimized geometry; symmetry = R-3m; total magnetic moment = 0.00 μB/cell; E_form = -0.226 eV per atom
1.0
-4.628 -0.112 -2.710
-0.296 -2.574 -4.697
-3.999 -8.544 1.872
Tb Tm Sn
4 1 2
Direct
0.375 0.375 0.876
0.222 0.222 0.335
0.778 0.778 0.665
0.625 0.625 0.124
0.000 0.000 0.000
0.108 0.108 0.675
0.892 0.892 0.325



[8]
TbTmSn PBE optimized geometry; symmetry = I4/mmm; total magnetic moment = 0.01 μB/cell; E_form = -0.589 eV per atom
1.0
4.459 0.000 -0.930
-0.194 4.455 -0.930
-0.476 -0.498 8.872
Tb Tm Sn
2 2 2
Direct
0.175 0.175 0.350
0.825 0.825 0.650
0.000 0.500 0.000
0.500 0.000 0.000
0.365 0.365 0.729
0.635 0.635 0.271



[9]
Tb3TmSn2 PBE optimized geometry; symmetry = Ibam; total magnetic moment = 0.00 μB/cell; E_form = -0.579 eV per atom
1.0
-5.430 -2.792 1.949
2.165 -0.004 6.027
-1.837 9.018 -2.736
Tb Tm Sn
6 2 4
Direct
0.424 0.673 0.346
0.576 0.327 0.654
0.078 0.827 0.654
0.922 0.173 0.346
0.500 0.750 0.000
0.500 0.250 0.000
0.000 0.250 0.000
0.000 0.750 0.000
0.387 0.139 0.279
0.613 0.861 0.721
0.109 0.361 0.721
0.891 0.639 0.279



[10]
TbTm2Sn PBE optimized geometry; symmetry = P4/mmm; offset from the most stable computed form = 0.007 eV per atom; total magnetic moment = 0.00 μB/cell; E_form = -0.403 eV per atom
1.0
-1.843 -3.442 -2.730
4.147 -2.364 0.181
-1.486 -2.307 3.910
Tm Tb Sn
2 1 1
Direct
0.000 0.000 0.500
0.000 0.500 0.000
0.500 0.500 0.500
0.500 0.000 0.000



[11]
TbTmSn PBE optimized geometry; symmetry = P4_2/mmc; total magnetic moment = 0.00 μB/cell; E_form = -0.161 eV per atom
1.0
5.992 0.000 0.000
0.000 8.010 0.000
0.000 0.000 8.010
Sn Tm Tb
4 4 4
Direct
0.000 0.500 0.753
0.500 0.247 0.500
0.500 0.753 0.500
0.000 0.500 0.247
0.000 0.784 0.500
0.500 0.500 0.784
0.500 0.500 0.216
0.000 0.216 0.500
0.000 0.790 0.000
0.500 0.000 0.790
0.500 0.000 0.210
0.000 0.210 0.000



[12]
Tb8Tm6Sn PBE optimized geometry; symmetry = P-3; total magnetic moment = 0.00 μB/cell; E_form = 0.054 eV per atom
1.0
-5.163 0.606 -3.660
-4.752 -5.427 5.803
0.149 9.164 1.307
Tb Tm Sn
8 6 1
Direct
0.816 0.042 0.268
0.816 0.732 0.774
0.816 0.226 0.958
0.184 0.958 0.732
0.184 0.268 0.226
0.184 0.774 0.042
0.809 0.333 0.667
0.191 0.667 0.333
0.676 0.645 0.096
0.676 0.904 0.549
0.676 0.451 0.355
0.324 0.355 0.904
0.324 0.096 0.451
0.324 0.549 0.645
0.500 0.000 0.000